Na2TaWN4 | Alexandria via LeMat-Bulk | PBE | optimized geometry; symmetry = I-4; crystal system = tetragonal; DOS(E_F) = 3.64 states/eV/cell; formation energy from raw total energies = -0.620 eV per atom
1.0
-2.3187 -3.6950 4.0230
5.5197 2.1716 -0.1748
-0.8954 5.8450 -0.4984
N Na Ta W
4 2 1 1
Cartesian
3.1561 4.9549 1.0808
0.2814 1.3288 2.1043
0.7207 -1.4353 3.5115
0.4531 3.7948 0.0031
0.0000 0.0000 0.0000
2.7566 1.2425 1.7558
-0.4510 3.0792 1.5940
2.3122 4.0083 -0.3366

***

CeDyFeNi | Alexandria via LeMat-Bulk | PBE | optimized geometry; symmetry = F-43m; crystal system = cubic; DOS(E_F) = 4.67 states/eV/cell; energy of formation from the pure elements = -7.0 kJ/mol of atoms
1.0
4.7676 0.0000 0.0000
2.3838 4.1289 0.0000
2.3838 1.3763 3.8927
Dy Fe Ce Ni
1 1 1 1
Cartesian
0.0000 0.0000 0.0000
2.3838 1.3763 0.9732
4.7676 2.7526 1.9464
7.1514 4.1289 2.9195

***

SmAs2Pd7 | Alexandria via LeMat-Bulk | PBE | optimized geometry; symmetry = I4/mmm; crystal system = tetragonal; DOS(E_F) = 5.64 states/eV/cell; energy of formation from the pure elements = -53.8 kJ/mol of atoms
1.0
-0.5199 2.3660 3.3811
-3.4980 1.5553 -1.6263
-3.3546 -9.4246 3.5210
Pd Sm As
7 1 2
Cartesian
-1.3876 -0.3862 2.6153
-2.0090 1.9607 0.8774
-4.4308 -2.9543 1.3860
-2.9417 -2.5489 3.8897
-5.9849 -5.1170 2.6605
-4.4959 -4.7116 5.1642
-2.8767 -0.7915 0.1115
0.0000 0.0000 0.0000
-3.4864 -4.8516 2.8590
-3.8862 -0.6516 2.4168